<a>
Below is an optimized crystal structure of MgZr2FeTc, with properties calculated at the PBE-GGA level.

Computed properties:
Crystal system ... tetragonal

Unit cell a=5.0446 b=5.0446 c=4.4936 alpha=90.00 beta=90.00 gamma=90.00
Space group P4/mmm (No. 123)
Unique sites:
Mg (0.0000, 0.0000, 0.0000)
Zr (0.0000, 0.5000, 0.5000)
Fe (0.5000, 0.5000, 0.0000)
Tc (0.5000, 0.5000, 0.5000)

<b>
Below is an optimized crystal structure of MgZr2FeTc, with properties calculated at the PBE-GGA level.

Computed properties:
Crystal system ... tetragonal

Unit cell a=4.9851 b=4.9851 c=4.1147 alpha=90.00 beta=90.00 gamma=90.00
Space group P4/mmm (No. 123)
Unique sites:
Mg (0.0000, 0.0000, 0.0000)
Zr (0.0000, 0.5000, 0.0000)
Fe (0.0000, 0.0000, 0.5000)
Tc (0.5000, 0.5000, 0.5000)

<a> is favored, and the nearest alternative lies 81.5 kJ/mol of atoms above it.

<a>
Below is an optimized crystal structure of MgFe2Te, with properties calculated at the PBE-GGA level.

Computed properties:
Crystal system ... cubic

Unit cell a=6.4161 b=6.4161 c=6.4161 alpha=90.00 beta=90.00 gamma=90.00
Space group F-43m (No. 216)
Unique sites:
Mg (0.0000, 0.0000, 0.0000)
Fe (0.0000, 0.0000, 0.5000)
Fe (0.2500, 0.2500, 0.7500)
Te (0.2500, 0.2500, 0.2500)

<b>
Below is an optimized crystal structure of MgFe2Te, with properties calculated at the PBE-GGA level.

Computed properties:
Crystal system ... monoclinic

Unit cell a=3.0615 b=4.3642 c=5.3074 alpha=90.00 beta=91.51 gamma=90.00
Space group P2/m (No. 10)
Unique sites:
Mg (0.0000, 0.0000, 0.0000)
Fe (0.4023, 0.5000, 0.2128)
Te (0.5000, 0.0000, 0.5000)

<c>
Below is an optimized crystal structure of MgFe2Te, with properties calculated at the PBE-GGA level.

Computed properties:
Crystal system ... tetragonal

Unit cell a=3.9761 b=3.9761 c=4.1031 alpha=90.00 beta=90.00 gamma=90.00
Space group P4/mmm (No. 123)
Unique sites:
Mg (0.0000, 0.0000, 0.0000)
Fe (0.0000, 0.5000, 0.5000)
Te (0.5000, 0.5000, 0.0000)

<c> is favored, and the nearest alternative lies 8.0 kJ/mol of atoms above it.